# 1
{
  "formula": "Pm3AsRu",
  "functional": "GGA-PBE",
  "state": "optimized geometry",
  "cell": [[5.3486, 0.0000, 0.0000], [0.0000, 5.3486, 0.0000], [0.0000, 0.0000, 5.3486]],
  "species": ["Pm", "Pm", "Pm", "As", "Ru"],
  "frac_coords": [[0.0000, 0.0000, 0.5000], [0.0000, 0.5000, 0.0000], [0.5000, 0.0000, 0.0000], [0.5000, 0.5000, 0.5000], [0.0000, 0.0000, 0.0000]],
  "formation_energy_ev_per_fu": -0.95
}


# 2
{
  "formula": "PmAsRu",
  "functional": "GGA-PBE",
  "state": "optimized geometry",
  "cell": [[6.8622, -2.2476, 0.0000], [6.8622, 2.2476, 0.0000], [-0.0588, 0.0000, 9.1981]],
  "species": ["Pm", "Pm", "Pm", "Pm", "As", "As", "As", "As", "Ru", "Ru", "Ru", "Ru"],
  "frac_coords": [[0.0465, 0.0465, 0.3339], [0.3926, 0.3926, 0.1025], [0.6074, 0.6074, 0.8975], [0.9535, 0.9535, 0.6661], [0.2449, 0.2449, 0.8583], [0.2659, 0.2659, 0.3824], [0.7341, 0.7341, 0.6176], [0.7551, 0.7551, 0.1417], [0.1587, 0.1587, 0.6113], [0.1781, 0.1781, 0.1276], [0.8219, 0.8219, 0.8724], [0.8413, 0.8413, 0.3887]],
  "relative_energy_kj_per_mol_atoms": 46.4,
  "formation_energy_ev_per_fu": -0.62
}


# 3
{
  "formula": "PmTcAsRu",
  "functional": "GGA-PBE",
  "state": "optimized geometry",
  "cell": [[0.0000, 3.2557, 3.2557], [3.2557, 0.0000, 3.2557], [3.2557, 3.2557, 0.0000]],
  "species": ["Pm", "Tc", "As", "Ru"],
  "frac_coords": [[0.0000, 0.0000, 0.0000], [0.7500, 0.7500, 0.7500], [0.5000, 0.5000, 0.5000], [0.2500, 0.2500, 0.2500]],
  "formation_energy_ev_per_fu": 0.09
}


# 4
{
  "formula": "Pm2AsS",
  "functional": "GGA-PBE",
  "state": "optimized geometry",
  "cell": [[4.1475, 0.0000, 0.0000], [0.0000, 5.8602, 0.0000], [0.0000, 0.0000, 8.2738]],
  "species": ["Pm", "Pm", "Pm", "Pm", "As", "As", "S", "S"],
  "frac_coords": [[0.2500, 0.2500, 0.1242], [0.2500, 0.2500, 0.6257], [0.7500, 0.7500, 0.3743], [0.7500, 0.7500, 0.8758], [0.2500, 0.7500, 0.6277], [0.7500, 0.2500, 0.3723], [0.2500, 0.7500, 0.1227], [0.7500, 0.2500, 0.8773]],
  "relative_energy_kj_per_mol_atoms": 0.0,
  "formation_energy_uncorrected_ev_per_atom": -1.81
}


Calculated total energy per entry: -5.83, -6.43, -7.24, -6.38 eV/atom
Total magnetic moment per entry: 0.00, 0.00, 0.00, 0.00 μB/f.u.
N(E_F) per entry: 4.6, 7.5, 4.9, 2.3 states/eV/cell